# TlCoCl2, relaxed, DFT PBE
data_TlCoCl2
_chemical_formula_sum 'Tl2 Co2 Cl4'
_cell_length_a 4.083
_cell_length_b 4.083
_cell_length_c 12.072
_cell_angle_alpha 90.00
_cell_angle_beta 90.00
_cell_angle_gamma 90.00
_space_group_name_H-M_alt 'I -4 m 2'
_space_group_IT_number 119
_space_group_name_Hall 'I -4 -2'
loop_
_atom_site_label
_atom_site_type_symbol
_atom_site_fract_x
_atom_site_fract_y
_atom_site_fract_z
Tl1 Tl 0.000 0.000 0.000
Co1 Co 0.000 0.500 0.750
Cl1 Cl 0.000 0.000 0.500
Cl2 Cl 0.000 0.500 0.250
# ΔE_f (raw) = 0.08 eV per atom
# DOS at the Fermi energy = 1.014 states/eV/atom
# Magnetic moment = 2.090 μB/f.u.
# E = -3.211 eV/atom
# Energy above the lowest structure with this stoichiometry = 2.103 eV/f.u.

---

# Th3Zn4Ni4, relaxed, DFT PBE
data_Th3Zn4Ni4
_chemical_formula_sum 'Th6 Zn8 Ni8'
_cell_length_a 3.905
_cell_length_b 7.364
_cell_length_c 13.890
_cell_angle_alpha 90.00
_cell_angle_beta 90.00
_cell_angle_gamma 90.00
_space_group_name_H-M_alt 'I m m m'
_space_group_IT_number 71
_space_group_name_Hall '-I 2 2'
loop_
_atom_site_label
_atom_site_type_symbol
_atom_site_fract_x
_atom_site_fract_y
_atom_site_fract_z
Th1 Th 0.000 0.000 0.000
Th2 Th 0.000 0.500 0.126
Zn1 Zn 0.000 0.313 0.328
Ni1 Ni 0.000 0.000 0.225
Ni2 Ni 0.000 0.193 0.500
# DOS at the Fermi energy = 0.591 states/eV/atom
# Magnetic moment = 0.000 μB/f.u.
# E = -4.997 eV/atom
# Energy above the lowest structure with this stoichiometry = 0.000 eV/f.u.

---

# Dy2H4Se, relaxed, DFT PBE
data_Dy2H4Se
_chemical_formula_sum 'Dy6 H12 Se3'
_cell_length_a 3.7544
_cell_length_b 3.7544
_cell_length_c 21.3996
_cell_angle_alpha 90.00
_cell_angle_beta 90.00
_cell_angle_gamma 120.00
_space_group_name_H-M_alt 'R -3 m'
_space_group_IT_number 166
_space_group_name_Hall '-R 3 2"'
loop_
_atom_site_label
_atom_site_type_symbol
_atom_site_fract_x
_atom_site_fract_y
_atom_site_fract_z
Dy1 Dy 0.0000 0.0000 0.2410
H1 H 0.0000 0.0000 0.1374
H2 H 0.0000 0.0000 0.4341
Se1 Se 0.0000 0.0000 0.0000
# Magnetic moment = 0.000 μB/f.u.
# E = -4.712 eV/atom

---

# Cd3SnPd12, relaxed, DFT PBE
data_Cd3SnPd12
_chemical_formula_sum 'Cd3 Sn1 Pd12'
_cell_length_a 4.047
_cell_length_b 4.047
_cell_length_c 16.007
_cell_angle_alpha 90.00
_cell_angle_beta 90.00
_cell_angle_gamma 90.00
_space_group_name_H-M_alt 'P 4/m m m'
_space_group_IT_number 123
_space_group_name_Hall '-P 4 2'
loop_
_atom_site_label
_atom_site_type_symbol
_atom_site_fract_x
_atom_site_fract_y
_atom_site_fract_z
Cd1 Cd 0.000 0.000 0.000
Cd2 Cd 0.000 0.000 0.250
Sn1 Sn 0.000 0.000 0.500
Pd1 Pd 0.000 0.500 0.125
Pd2 Pd 0.000 0.500 0.377
Pd3 Pd 0.500 0.500 0.000
Pd4 Pd 0.500 0.500 0.250
Pd5 Pd 0.500 0.500 0.500
# DOS at the Fermi energy = 1.284 states/eV/atom
# Magnetic moment = 0.001 μB/f.u.
# E = -4.617 eV/atom